{
  "formula": "NaSr8Pt4",
  "functional": "PBE",
  "state": "relaxed",
  "space_group": "Cm (8)",
  "n_ef_per_ev_atom": 0.521,
  "formation_energy_ev_per_fu": -7.65,
  "lattice": [[4.345, 0.000, 0.941], [1.944, 10.571, 1.525], [-0.135, 0.198, 11.121]],
  "species": ["Sr", "Sr", "Sr", "Sr", "Sr", "Sr", "Sr", "Sr", "Pt", "Pt", "Pt", "Pt", "Na"],
  "frac_coords": [[0.850, 0.994, 0.306], [0.145, 0.329, 0.381], [0.182, 0.009, 0.627], [0.228, 0.655, 0.889], [0.887, 0.674, 0.553], [0.556, 0.666, 0.222], [0.476, 0.337, 0.711], [0.804, 0.348, 0.044], [0.370, 0.833, 0.428], [0.662, 0.170, 0.506], [0.177, 0.503, 0.142], [0.854, 0.500, 0.792], [0.515, 0.003, 0.968]]
}